DFT (PBE) results for a relaxed structure of ReTcBr2.

Cell lengths 2.951, 5.520, 4.493 Å; angles 90.00, 90.00, 90.00 degrees
Last column: magnetic moment on the atom in μB.
Element x y z (fractional)
Br 0.500 0.500 0.000  0.04
Br 0.000 0.000 0.000  0.03
Tc 0.000 0.500 0.500  1.24
Re 0.500 0.000 0.500  0.85

Computed properties:
The crystal system is orthorhombic. The energy relative to the lowest polymorph listed for this composition is 4.55 eV/f.u.